No. 1
Material: Pa4IrCS2
Method: DFT, PBE
State: relaxed

Cell: 6.809 3.738 6.810 Å, 90.00 107.74 90.00°
Element x y z (fractional)
Pa (0.221, 0.000, 0.225)
Pa (0.234, 0.500, 0.763)
Pa (0.766, 0.500, 0.237)
Pa (0.779, 0.000, 0.775)
Ir (0.500, 0.000, 0.000)
C (0.000, 0.500, 0.000)
S (0.000, 0.000, 0.500)
S (0.500, 0.500, 0.500)

Results
Symmetry   No. 10
Electronic total energy   -72.57 eV for the cell shown
Formation energy (no corrections)   -1.031 eV/atom
Magnetic moment   0.00 μB/cell

No. 2
Material: Cs5S6
Method: DFT, PBE
State: relaxed

Cell: 9.674 9.674 7.254 Å, 90.84 90.84 139.65°
Element x y z (fractional)
Cs (0.000, 0.000, 0.000)
Cs (0.321, 0.679, 0.000)
Cs (0.369, 0.631, 0.500)
Cs (0.631, 0.369, 0.500)
Cs (0.679, 0.321, 0.000)
S (0.173, 0.816, 0.357)
S (0.184, 0.827, 0.643)
S (0.495, 0.495, 0.855)
S (0.505, 0.505, 0.145)
S (0.816, 0.173, 0.357)
S (0.827, 0.184, 0.643)

Results
Symmetry   No. 12
Electronic total energy   -37.63 eV for the cell shown
Formation energy (no corrections)   -0.782 eV/atom
Magnetic moment   1.07 μB/cell

No. 3
Material: LiTbEuGe
Method: DFT, PBE
State: relaxed

Cell: 7.312 7.312 7.312 Å, 90.00 90.00 90.00°
Element x y z (fractional)
Li (0.000, 0.000, 0.000)
Li (0.000, 0.500, 0.500)
Li (0.500, 0.000, 0.500)
Li (0.500, 0.500, 0.000)
Tb (0.250, 0.250, 0.250)
Tb (0.250, 0.750, 0.750)
Tb (0.750, 0.250, 0.750)
Tb (0.750, 0.750, 0.250)
Eu (0.250, 0.250, 0.750)
Eu (0.250, 0.750, 0.250)
Eu (0.750, 0.250, 0.250)
Eu (0.750, 0.750, 0.750)
Ge (0.000, 0.000, 0.500)
Ge (0.000, 0.500, 0.000)
Ge (0.500, 0.000, 0.000)
Ge (0.500, 0.500, 0.500)

Results
Symmetry   No. 216
Electronic total energy   -91.72 eV for the cell shown
Formation energy from the elements   -0.37 eV per atom
Magnetic moment   29.83 μB/cell

No. 4
Material: LaTb5Ho2Th
Method: DFT, PBE
State: relaxed

Cell: 10.373 10.373 10.500 Å, 90.00 90.00 148.42°
Element x y z (fractional)
La (0.085, 0.915, 0.500)
La (0.915, 0.085, 0.000)
Tb (0.022, 0.978, 0.791)
Tb (0.114, 0.886, 0.081)
Tb (0.205, 0.795, 0.763)
Tb (0.223, 0.777, 0.373)
Tb (0.484, 0.516, 0.080)
Tb (0.516, 0.484, 0.580)
Tb (0.777, 0.223, 0.873)
Tb (0.795, 0.205, 0.263)
Tb (0.886, 0.114, 0.581)
Tb (0.978, 0.022, 0.291)
Ho (0.387, 0.613, 0.373)
Ho (0.387, 0.613, 0.788)
Ho (0.613, 0.387, 0.288)
Ho (0.613, 0.387, 0.873)
Th (0.299, 0.701, 0.070)
Th (0.701, 0.299, 0.570)

Results
Symmetry   No. 36
Electronic total energy   -86.29 eV for the cell shown
Formation energy from the elements   0.17 eV per atom
Magnetic moment   0.00 μB/cell

No. 5
Material: P2OsPb
Method: DFT, PBE
State: relaxed

Cell: 3.206 3.206 25.958 Å, 90.00 90.00 120.00°
Element x y z (fractional)
P (0.000, 0.000, 0.228)
P (0.000, 0.000, 0.772)
P (0.333, 0.667, 0.439)
P (0.333, 0.667, 0.894)
P (0.667, 0.333, 0.106)
P (0.667, 0.333, 0.561)
Os (0.000, 0.000, 0.500)
Os (0.333, 0.667, 0.167)
Os (0.667, 0.333, 0.833)
Pb (0.000, 0.000, 0.000)
Pb (0.333, 0.667, 0.667)
Pb (0.667, 0.333, 0.333)

Results
Symmetry   No. 166
Electronic total energy   -75.30 eV for the cell shown
Formation energy from the elements   0.16 eV per atom
Magnetic moment   0.00 μB/cell

No. 6
Material: Co3SiHg
Method: DFT, PBE
State: relaxed

Cell: 4.228 4.228 4.228 Å, 90.00 90.00 90.00°
Element x y z (fractional)
Co (0.000, 0.000, 0.500)
Co (0.000, 0.500, 0.000)
Co (0.500, 0.000, 0.000)
Si (0.000, 0.000, 0.000)
Hg (0.500, 0.500, 0.500)

Results
Energy above the most stable polymorph in this dataset   0.000 eV per atom
Symmetry   No. 221
Electronic total energy   -24.42 eV for the cell shown
Formation energy (no corrections)   0.525 eV/atom
Magnetic moment   2.72 μB/cell

No. 7
Material: PrTmTe2O
Method: DFT, PBE
State: relaxed

Cell: 4.222 4.222 15.616 Å, 90.00 90.00 90.00°
Element x y z (fractional)
Pr (0.250, 0.250, 0.073)
Pr (0.750, 0.750, 0.927)
Tm (0.250, 0.250, 0.625)
Tm (0.750, 0.750, 0.375)
Te (0.250, 0.250, 0.415)
Te (0.250, 0.250, 0.806)
Te (0.750, 0.750, 0.194)
Te (0.750, 0.750, 0.585)
O (0.250, 0.750, 0.000)
O (0.750, 0.250, 0.000)

Results
Symmetry   No. 129
Electronic total energy   -61.33 eV for the cell shown
Formation energy (no corrections)   -2.035 eV/atom
Magnetic moment   0.00 μB/cell

No. 8
Material: LiMgIr2
Method: DFT, PBE
State: relaxed

Cell: 5.205 8.190 2.764 Å, 90.00 90.00 90.00°
Element x y z (fractional)
Li (0.000, 0.000, 0.000)
Li (0.500, 0.500, 0.000)
Mg (0.000, 0.500, 0.000)
Mg (0.500, 0.000, 0.000)
Ir (0.250, 0.250, 0.500)
Ir (0.250, 0.750, 0.500)
Ir (0.750, 0.250, 0.500)
Ir (0.750, 0.750, 0.500)

Results
Symmetry   No. 65
Electronic total energy   -43.25 eV for the cell shown
Formation energy from the elements   -0.10 eV per atom
Magnetic moment   0.00 μB/cell

No. 9
Material: ZnTe2
Method: DFT, PBE
State: relaxed

Cell: 4.380 4.380 11.178 Å, 90.00 90.00 120.00°
Element x y z (fractional)
Zn (0.000, 0.000, 0.000)
Zn (0.000, 0.000, 0.500)
Te (0.333, 0.667, 0.123)
Te (0.333, 0.667, 0.377)
Te (0.667, 0.333, 0.623)
Te (0.667, 0.333, 0.877)

Results
Symmetry   No. 194
Electronic total energy   -15.58 eV for the cell shown
Formation energy (no corrections)   -0.078 eV/atom
Magnetic moment   0.00 μB/cell

No. 10
Material: Rb4SbI6
Method: DFT, PBE
State: relaxed

Cell: 10.094 10.094 10.180 Å, 90.00 90.00 90.00°
Element x y z (fractional)
Rb (0.164, 0.336, 0.250)
Rb (0.164, 0.336, 0.750)
Rb (0.336, 0.836, 0.250)
Rb (0.336, 0.836, 0.750)
Rb (0.664, 0.164, 0.250)
Rb (0.664, 0.164, 0.750)
Rb (0.836, 0.664, 0.250)
Rb (0.836, 0.664, 0.750)
Sb (0.000, 0.000, 0.000)
Sb (0.500, 0.500, 0.500)
I (0.000, 0.000, 0.298)
I (0.000, 0.000, 0.702)
I (0.111, 0.682, 0.000)
I (0.182, 0.611, 0.500)
I (0.318, 0.111, 0.000)
I (0.389, 0.182, 0.500)
I (0.500, 0.500, 0.202)
I (0.500, 0.500, 0.798)
I (0.611, 0.818, 0.500)
I (0.682, 0.889, 0.000)
I (0.818, 0.389, 0.500)
I (0.889, 0.318, 0.000)

Results
Symmetry   No. 128
Electronic total energy   -57.97 eV for the cell shown
Formation energy (no corrections)   -1.063 eV/atom
Magnetic moment   2.05 μB/cell

No. 11
Material: HoMg11Hg
Method: DFT, PBE
State: relaxed

Cell: 7.751 7.751 7.689 Å, 97.94 97.94 135.34°
Element x y z (fractional)
Ho (0.000, 0.000, 0.000)
Mg (0.000, 0.000, 0.500)
Mg (0.000, 0.500, 0.000)
Mg (0.001, 0.348, 0.352)
Mg (0.291, 0.500, 0.787)
Mg (0.348, 0.001, 0.352)
Mg (0.500, 0.000, 0.000)
Mg (0.500, 0.291, 0.787)
Mg (0.500, 0.709, 0.213)
Mg (0.652, 0.999, 0.648)
Mg (0.709, 0.500, 0.213)
Mg (0.999, 0.652, 0.648)
Hg (0.500, 0.500, 0.500)

Results
Symmetry   No. 12
Electronic total energy   -23.20 eV for the cell shown
Formation energy from the elements   -0.06 eV per atom
Magnetic moment   0.00 μB/cell

No. 12
Material: SrInGa4
Method: DFT, PBE
State: relaxed

Cell: 8.367 15.967 4.377 Å, 90.00 90.00 90.00°
Element x y z (fractional)
Sr (0.135, 0.150, 0.000)
Sr (0.365, 0.650, 0.000)
Sr (0.635, 0.350, 0.000)
Sr (0.865, 0.850, 0.000)
In (0.143, 0.412, 0.000)
In (0.357, 0.912, 0.000)
In (0.643, 0.088, 0.000)
In (0.857, 0.588, 0.000)
Ga (0.010, 0.697, 0.500)
Ga (0.114, 0.550, 0.500)
Ga (0.132, 0.968, 0.500)
Ga (0.203, 0.812, 0.500)
Ga (0.297, 0.312, 0.500)
Ga (0.368, 0.468, 0.500)
Ga (0.386, 0.050, 0.500)
Ga (0.490, 0.197, 0.500)
Ga (0.510, 0.803, 0.500)
Ga (0.614, 0.950, 0.500)
Ga (0.632, 0.532, 0.500)
Ga (0.703, 0.688, 0.500)
Ga (0.797, 0.188, 0.500)
Ga (0.868, 0.032, 0.500)
Ga (0.886, 0.450, 0.500)
Ga (0.990, 0.303, 0.500)

Results
Energy above the most stable polymorph in this dataset   0.000 eV per atom
Symmetry   No. 55
Electronic total energy   -71.55 eV for the cell shown
Formation energy from the elements   -0.23 eV per atom
Magnetic moment   0.00 μB/cell

No. 13
Material: Hg2SbOs
Method: DFT, PBE
State: relaxed

Cell: 4.409 4.409 8.341 Å, 90.00 90.00 90.00°
Element x y z (fractional)
Hg (0.000, 0.000, 0.000)
Hg (0.000, 0.500, 0.250)
Hg (0.500, 0.000, 0.750)
Hg (0.500, 0.500, 0.500)
Sb (0.000, 0.000, 0.500)
Sb (0.500, 0.500, 0.000)
Os (0.000, 0.500, 0.750)
Os (0.500, 0.000, 0.250)

Results
Symmetry   No. 119
Electronic total energy   -25.52 eV for the cell shown
Formation energy (no corrections)   0.799 eV/atom
Magnetic moment   0.01 μB/cell

No. 14
Material: Na3AgSn3Se8
Method: DFT, PBE
State: relaxed

Cell: 8.535 8.535 8.535 Å, 55.33 55.33 55.33°
Element x y z (fractional)
Na (0.000, 0.500, 0.500)
Na (0.500, 0.000, 0.500)
Na (0.500, 0.500, 0.000)
Ag (0.500, 0.500, 0.500)
Sn (0.000, 0.000, 0.500)
Sn (0.000, 0.500, 0.000)
Sn (0.500, 0.000, 0.000)
Se (0.236, 0.741, 0.741)
Se (0.243, 0.243, 0.243)
Se (0.259, 0.259, 0.764)
Se (0.259, 0.764, 0.259)
Se (0.741, 0.236, 0.741)
Se (0.741, 0.741, 0.236)
Se (0.757, 0.757, 0.757)
Se (0.764, 0.259, 0.259)

Results
Symmetry   No. 166
Electronic total energy   -54.48 eV for the cell shown
Formation energy (no corrections)   -0.519 eV/atom
Magnetic moment   0.00 μB/cell

No. 15
Material: BaCuSiPd2
Method: DFT, PBE
State: relaxed

Cell: 4.826 4.826 4.639 Å, 90.00 90.00 90.00°
Element x y z (fractional)
Ba (0.000, 0.000, 0.000)
Cu (0.500, 0.500, 0.000)
Si (0.500, 0.500, 0.500)
Pd (0.000, 0.500, 0.500)
Pd (0.500, 0.000, 0.500)

Results
Symmetry   No. 123
Electronic total energy   -23.64 eV for the cell shown
Formation energy (no corrections)   -0.363 eV/atom
Magnetic moment   0.00 μB/cell

No. 16
Material: Ta2CrPt
Method: DFT, PBE
State: relaxed

Cell: 3.007 3.007 25.059 Å, 90.00 90.00 120.00°
Element x y z (fractional)
Ta (0.000, 0.000, 0.244)
Ta (0.000, 0.000, 0.756)
Ta (0.333, 0.667, 0.423)
Ta (0.333, 0.667, 0.911)
Ta (0.667, 0.333, 0.089)
Ta (0.667, 0.333, 0.577)
Cr (0.000, 0.000, 0.500)
Cr (0.333, 0.667, 0.167)
Cr (0.667, 0.333, 0.833)
Pt (0.000, 0.000, 0.000)
Pt (0.333, 0.667, 0.667)
Pt (0.667, 0.333, 0.333)

Results
Symmetry   No. 166
Electronic total energy   -118.07 eV for the cell shown
Formation energy from the elements   0.00 eV per atom
Magnetic moment   0.00 μB/cell

No. 17
Material: HfPaMo
Method: DFT, PBE
State: relaxed

Cell: 3.423 3.423 10.694 Å, 90.00 90.00 90.00°
Element x y z (fractional)
Hf (0.000, 0.000, 0.000)
Hf (0.500, 0.500, 0.500)
Pa (0.000, 0.000, 0.695)
Pa (0.500, 0.500, 0.195)
Mo (0.000, 0.000, 0.334)
Mo (0.500, 0.500, 0.834)

Results
Energy above the most stable polymorph in this dataset   0.000 eV per atom
Symmetry   No. 107
Electronic total energy   -60.54 eV for the cell shown
Formation energy from the elements   0.00 eV per atom
Magnetic moment   0.00 μB/cell

No. 18
Material: VSiI2N
Method: DFT, PBE
State: relaxed

Cell: 5.569 5.569 3.688 Å, 90.00 90.00 90.00°
Element x y z (fractional)
V (0.000, 0.000, 0.000)
Si (0.500, 0.500, 0.500)
I (0.000, 0.500, 0.000)
I (0.500, 0.000, 0.000)
N (0.000, 0.000, 0.500)

Results
Energy above the most stable polymorph in this dataset   0.000 eV per atom
Symmetry   No. 123
Electronic total energy   -23.95 eV for the cell shown
Formation energy (no corrections)   0.403 eV/atom
Magnetic moment   1.18 μB/cell

No. 19
Material: K4Ce3HfS8
Method: DFT, PBE
State: relaxed

Cell: 8.769 8.769 8.769 Å, 55.47 55.47 55.47°
Element x y z (fractional)
K (0.000, 0.000, 0.000)
K (0.000, 0.500, 0.500)
K (0.500, 0.000, 0.500)
K (0.500, 0.500, 0.000)
Ce (0.000, 0.000, 0.500)
Ce (0.000, 0.500, 0.000)
Ce (0.500, 0.000, 0.000)
Hf (0.500, 0.500, 0.500)
S (0.238, 0.238, 0.238)
S (0.258, 0.721, 0.721)
S (0.279, 0.279, 0.742)
S (0.279, 0.742, 0.279)
S (0.721, 0.258, 0.721)
S (0.721, 0.721, 0.258)
S (0.742, 0.279, 0.279)
S (0.762, 0.762, 0.762)

Results
Symmetry   No. 166
Electronic total energy   -92.14 eV for the cell shown
Formation energy (no corrections)   -1.686 eV/atom
Magnetic moment   3.94 μB/cell

No. 20
Material: Th4BCSe2
Method: DFT, PBE
State: relaxed

Cell: 6.806 3.947 7.409 Å, 90.00 107.96 90.00°
Element x y z (fractional)
Th (0.229, 0.000, 0.202)
Th (0.260, 0.500, 0.796)
Th (0.740, 0.500, 0.204)
Th (0.771, 0.000, 0.798)
B (0.500, 0.000, 0.000)
C (0.000, 0.500, 0.000)
Se (0.000, 0.000, 0.500)
Se (0.500, 0.500, 0.500)

Results
Symmetry   No. 10
Electronic total energy   -60.65 eV for the cell shown
Formation energy (no corrections)   -1.013 eV/atom
Magnetic moment   0.00 μB/cell